Entry 1:
The following is a PBE calculation of a relaxed ErTlH crystal, from Alexandria.

POSCAR file:
```
ErTlH
1.0
3.6035 0.0000 0.0000
0.0383 5.7473 0.0000
1.7736 2.6860 5.5927
Er Tl H
2 2 2
direct
0.1270 0.3095 0.2531 Er
0.8730 0.6905 0.7469 Er
0.3799 0.1952 0.7447 Tl
0.6201 0.8048 0.2553 Tl
0.2848 0.6357 0.9272 H
0.7152 0.3643 0.0728 H
```

Calculated values
ΔE to the lowest computed polymorph, eV/atom: 0.033
Fermi-level density of states, states/eV/f.u.: 1.11
Total moment, μB per atom: 0.0000
E_tot, eV/atom: -3.81

***

Entry 2:
The following is a PBE calculation of a relaxed Er8Tl5H crystal, from Alexandria.

POSCAR file:
```
Er8Tl5H
1.0
-4.4013 4.4013 4.8978
4.4013 -4.4013 4.8978
4.4013 4.4013 -4.8978
Er Tl H
8 5 1
direct
0.0230 0.2110 0.7401 Er
0.0318 0.4348 0.2299 Er
0.1981 0.9682 0.4030 Er
0.2050 0.8019 0.7701 Er
0.4710 0.2830 0.2599 Er
0.5652 0.7950 0.5970 Er
0.7170 0.9770 0.1880 Er
0.7890 0.5290 0.8120 Er
0.0000 0.0000 0.0000 Tl
0.3128 0.6734 0.1145 Tl
0.3266 0.4411 0.6395 Tl
0.5589 0.1984 0.8855 Tl
0.8016 0.6872 0.3605 Tl
0.7500 0.2500 0.5000 H
```

Calculated values
Fermi-level density of states, states/eV/f.u.: 14.45
Total moment, μB per atom: 0.0000
E_tot, eV/atom: -3.87

***

Entry 3:
The following is a PBE calculation of a relaxed Er3Tl2H crystal, from Alexandria.

POSCAR file:
```
Er3Tl2H
1.0
6.9925 -3.0996 0.0000
6.9925 3.0996 0.0000
-0.9542 0.0000 6.7186
Er Tl H
6 4 2
direct
0.0782 0.9218 0.7500 Er
0.3051 0.4605 0.3543 Er
0.4605 0.3051 0.8543 Er
0.5395 0.6949 0.1457 Er
0.6949 0.5395 0.6457 Er
0.9218 0.0782 0.2500 Er
0.1411 0.2363 0.0400 Tl
0.2363 0.1411 0.5400 Tl
0.7637 0.8589 0.4600 Tl
0.8589 0.7637 0.9600 Tl
0.4164 0.5836 0.7500 H
0.5836 0.4164 0.2500 H
```

Calculated values
Fermi-level density of states, states/eV/f.u.: 4.57
Total moment, μB per atom: 0.0000
E_tot, eV/atom: -3.88